Computed, not measured: crystalline SrLi2IN at its relaxed geometry at the PBE level of DFT.

extended XYZ file:
```
10
Lattice="-3.726 0.987 -0.676 -0.301 -5.411 5.086 0.371 5.204 5.559" Properties=species:S:1:pos:R:3 pbc="T T T"
Sr -1.848 1.618 1.222
Sr -1.808 -0.839 8.747
Li -0.361 1.533 4.233
Li -3.295 -0.753 5.736
Li -3.451 -2.941 3.399
Li -0.206 3.720 6.570
N 0.000 0.000 0.000
N 0.185 2.602 2.779
I -2.602 2.085 6.063
I -1.054 -1.306 3.906
```

Output
As for the total magnetization: 0.000 μB per atom. The calculation puts the formation energy (no corrections) at -70.8 kJ/mol of atoms.

---

Computed, not measured: crystalline Sr2LiIN at its relaxed geometry at the PBE level of DFT.

extended XYZ file:
```
5
Lattice="-2.401 2.216 4.280 -2.136 -3.615 0.673 3.989 -1.769 3.154" Properties=species:S:1:pos:R:3 pbc="T T T"
Sr 1.994 -0.885 1.577
Sr -1.201 1.108 2.140
Li -1.068 -1.808 0.337
N 0.000 0.000 0.000
I -0.274 -1.584 4.054
```

Output
As for the total magnetization: 0.000 μB per atom. The calculation puts the formation energy (no corrections) at -64.3 kJ/mol of atoms.